No. 1
{"formula": "InCuS2Cl", "functional": "GGA-PBE", "state": "optimized geometry", "cell": [[4.668, 0.000, 0.000], [0.000, 4.668, 0.000], [0.000, 0.000, 4.681]], "species": ["In", "Cu", "S", "S", "Cl"], "fractional_positions": [[0.000, 0.000, 0.000], [0.500, 0.500, 0.500], [0.000, 0.500, 0.500], [0.500, 0.000, 0.500], [0.500, 0.500, 0.000]], "raw_formation_energy_ev_per_atom": 0.064, "polymorph_energy_ev_per_atom": 0.000, "sg": "P4/mmm (123)"}


No. 2
{"formula": "In2CuSbCl", "functional": "GGA-PBE", "state": "optimized geometry", "cell": [[5.948, 0.000, 0.000], [0.000, 5.948, 0.000], [0.000, 0.000, 5.234]], "species": ["In", "In", "Cu", "Sb", "Cl"], "fractional_positions": [[0.000, 0.500, 0.000], [0.500, 0.000, 0.000], [0.000, 0.000, 0.500], [0.500, 0.500, 0.000], [0.500, 0.500, 0.500]], "raw_formation_energy_ev_per_atom": 0.509, "sg": "P4/mmm (123)"}


No. 3
{"formula": "InCu2SnCl", "functional": "GGA-PBE", "state": "optimized geometry", "cell": [[4.540, 0.000, 0.000], [0.000, 4.540, 0.000], [0.000, 0.000, 5.814]], "species": ["In", "Cu", "Cu", "Sn", "Cl"], "fractional_positions": [[0.000, 0.000, 0.000], [0.000, 0.500, 0.500], [0.500, 0.000, 0.500], [0.500, 0.500, 0.000], [0.500, 0.500, 0.500]], "raw_formation_energy_ev_per_atom": 0.501, "sg": "P4/mmm (123)"}


No. 4
{"formula": "InCuSnCl6", "functional": "GGA-PBE", "state": "optimized geometry", "cell": [[6.576, 0.000, 0.000], [-3.288, 5.695, 0.000], [0.000, 0.000, 12.474]], "species": ["In", "In", "Cu", "Cu", "Sn", "Sn", "Cl", "Cl", "Cl", "Cl", "Cl", "Cl", "Cl", "Cl", "Cl", "Cl", "Cl", "Cl"], "fractional_positions": [[0.333, 0.667, 0.250], [0.667, 0.333, 0.750], [0.333, 0.667, 0.750], [0.667, 0.333, 0.250], [0.000, 0.000, 0.000], [0.000, 0.000, 0.500], [0.004, 0.360, 0.635], [0.004, 0.644, 0.865], [0.356, 0.360, 0.865], [0.356, 0.996, 0.635], [0.360, 0.004, 0.135], [0.360, 0.356, 0.365], [0.640, 0.644, 0.635], [0.640, 0.996, 0.865], [0.644, 0.004, 0.365], [0.644, 0.640, 0.135], [0.996, 0.356, 0.135], [0.996, 0.640, 0.365]], "raw_formation_energy_ev_per_atom": -0.868, "sg": "P-31c (163)"}


Q: Number 1 is which compound?
A: InCuS2Cl